[1]
First-principles (PBE-GGA) data for a relaxed structure of CaPrPa2As4, as listed in Alexandria.

abc: 7.2487 7.2487 7.2487
angles: 132.05 132.05 70.15
Fractional coordinates of all 8 atoms:
Ca: 0.0000 0.0000 0.0000
Pr: 0.2500 0.7500 0.5000
Pa: 0.5000 0.5000 0.0000
Pa: 0.7500 0.2500 0.5000
As: 0.2566 0.2566 0.0000
As: 0.5073 0.0073 0.5000
As: 0.7434 0.7434 0.0000
As: 0.9927 0.4927 0.5000

Computed properties:
calculated formation energy: -922 kJ/mol of formula units
uncorrected energy: -6.741 eV per atom



[2]
First-principles (PBE-GGA) data for a relaxed structure of MgReSN2, as listed in Alexandria.

abc: 3.8194 3.8194 5.2579
angles: 90.00 90.00 90.00
Fractional coordinates of all 5 atoms:
Mg: 0.0000 0.0000 0.0000
Re: 0.5000 0.5000 0.5000
S: 0.5000 0.5000 0.0000
N: 0.0000 0.5000 0.5000
N: 0.5000 0.0000 0.5000

Computed properties:
uncorrected formation energy: 8 meV per atom
uncorrected energy: -6.956 eV per atom



[3]
First-principles (PBE-GGA) data for a relaxed structure of BeSi2SbBr, as listed in Alexandria.

abc: 4.3933 4.3933 5.4822
angles: 90.00 90.00 90.00
Fractional coordinates of all 5 atoms:
Be: 0.0000 0.0000 0.0000
Si: 0.0000 0.5000 0.0000
Si: 0.5000 0.0000 0.0000
Sb: 0.0000 0.0000 0.5000
Br: 0.5000 0.5000 0.5000

Computed properties:
uncorrected formation energy: 663 meV per atom
uncorrected energy: -3.410 eV per atom



[4]
First-principles (PBE-GGA) data for a relaxed structure of LiMgCd2Pb, as listed in Alexandria.

abc: 6.1075 6.1075 8.3552
angles: 90.00 90.00 132.66
Fractional coordinates of all 10 atoms:
Li: 0.1772 0.8228 0.7500
Li: 0.8228 0.1772 0.2500
Mg: 0.4547 0.5453 0.7500
Mg: 0.5453 0.4547 0.2500
Cd: 0.3001 0.6999 0.0711
Cd: 0.3001 0.6999 0.4289
Cd: 0.6999 0.3001 0.5711
Cd: 0.6999 0.3001 0.9289
Pb: 0.0000 0.0000 0.0000
Pb: 0.0000 0.0000 0.5000

Computed properties:
calculated formation energy: -48 kJ/mol of formula units
uncorrected energy: -1.909 eV per atom



[5]
First-principles (PBE-GGA) data for a relaxed structure of ScTi2Ir2, as listed in Alexandria.

abc: 3.2567 4.4334 11.3345
angles: 90.00 98.27 90.00
Fractional coordinates of all 10 atoms:
Sc: 0.1466 0.2500 0.2926
Sc: 0.8534 0.7500 0.7074
Ti: 0.0486 0.7500 0.0970
Ti: 0.2419 0.7500 0.4840
Ti: 0.7581 0.2500 0.5160
Ti: 0.9514 0.2500 0.9030
Ir: 0.3548 0.2500 0.7097
Ir: 0.4549 0.7500 0.9105
Ir: 0.5451 0.2500 0.0895
Ir: 0.6452 0.7500 0.2903

Computed properties:
calculated formation energy: -364 kJ/mol of formula units
uncorrected energy: -8.723 eV per atom



[6]
First-principles (PBE-GGA) data for a relaxed structure of Pm2Dy2Ho3, as listed in Alexandria.

abc: 8.9219 8.9219 8.5376
angles: 118.55 118.55 22.65
Fractional coordinates of all 7 atoms:
Pm: 0.0667 0.0667 0.4116
Pm: 0.9333 0.9333 0.5884
Dy: 0.3505 0.3505 0.1672
Dy: 0.6495 0.6495 0.8328
Ho: 0.2883 0.2883 0.6998
Ho: 0.5000 0.5000 0.0000
Ho: 0.7117 0.7117 0.3002

Computed properties:
calculated formation energy: 82 kJ/mol of formula units
uncorrected energy: -4.513 eV per atom



[7]
First-principles (PBE-GGA) data for a relaxed structure of BaTaSiSe6, as listed in Alexandria.

abc: 6.5604 6.5604 7.2686
angles: 90.00 90.00 120.00
Fractional coordinates of all 9 atoms:
Ba: 0.0000 0.0000 0.0000
Ta: 0.3333 0.6667 0.5000
Si: 0.6667 0.3333 0.5000
Se: 0.3876 0.0107 0.7030
Se: 0.3876 0.3769 0.2970
Se: 0.6231 0.0107 0.2970
Se: 0.6231 0.6124 0.7030
Se: 0.9893 0.3769 0.7030
Se: 0.9893 0.6124 0.2970

Computed properties:
uncorrected formation energy: -716 meV per atom
uncorrected energy: -5.172 eV per atom



[8]
First-principles (PBE-GGA) data for a relaxed structure of Pr8DySn6, as listed in Alexandria.

abc: 8.5846 8.5846 8.5846
angles: 66.45 66.45 66.45
Fractional coordinates of all 15 atoms:
Pr: 0.0591 0.7334 0.3981
Pr: 0.1661 0.1661 0.1661
Pr: 0.2666 0.6019 0.9409
Pr: 0.3981 0.0591 0.7334
Pr: 0.6019 0.9409 0.2666
Pr: 0.7334 0.3981 0.0591
Pr: 0.8339 0.8339 0.8339
Pr: 0.9409 0.2666 0.6019
Dy: 0.5000 0.5000 0.5000
Sn: 0.1062 0.4321 0.7600
Sn: 0.2400 0.8938 0.5679
Sn: 0.4321 0.7600 0.1062
Sn: 0.5679 0.2400 0.8938
Sn: 0.7600 0.1062 0.4321
Sn: 0.8938 0.5679 0.2400

Computed properties:
calculated formation energy: -820 kJ/mol of formula units
uncorrected energy: -5.024 eV per atom



[9]
First-principles (PBE-GGA) data for a relaxed structure of Tb2Al2Ga4Pt, as listed in Alexandria.

abc: 6.2360 6.2360 6.2360
angles: 119.63 119.63 90.65
Fractional coordinates of all 9 atoms:
Tb: 0.2500 0.7500 0.5000
Tb: 0.7500 0.2500 0.5000
Al: 0.2167 0.2167 0.0000
Al: 0.7833 0.7833 0.0000
Ga: 0.2150 0.2150 0.4301
Ga: 0.2150 0.7850 0.0000
Ga: 0.7850 0.2150 0.0000
Ga: 0.7850 0.7850 0.5699
Pt: 0.5000 0.5000 0.0000

Computed properties:
calculated formation energy: -567 kJ/mol of formula units
uncorrected energy: -4.530 eV per atom



[10]
First-principles (PBE-GGA) data for a relaxed structure of PuPaZnPt, as listed in Alexandria.

abc: 4.9823 4.9823 4.9823
angles: 60.00 60.00 60.00
Fractional coordinates of all 4 atoms:
Pu: 0.0000 0.0000 0.0000
Pa: 0.5000 0.5000 0.5000
Zn: 0.7500 0.7500 0.7500
Pt: 0.2500 0.2500 0.2500

Computed properties:
calculated formation energy: -125 kJ/mol of formula units
uncorrected energy: -8.109 eV per atom



[11]
First-principles (PBE-GGA) data for a relaxed structure of Be2WAu, as listed in Alexandria.

abc: 2.7449 3.6412 5.2698
angles: 90.00 90.00 90.00
Fractional coordinates of all 4 atoms:
Be: 0.0000 0.0000 0.2034
Be: 0.0000 0.0000 0.7966
W: 0.5000 0.5000 0.0000
Au: 0.0000 0.5000 0.5000

Computed properties:
calculated formation energy: 45 kJ/mol of formula units
uncorrected energy: -5.805 eV per atom



[12]
First-principles (PBE-GGA) data for a relaxed structure of Pm12PrY5, as listed in Alexandria.

abc: 10.4952 10.4952 5.8589
angles: 90.07 90.07 109.00
Fractional coordinates of all 18 atoms:
Pm: 0.0273 0.6697 0.9944
Pm: 0.1693 0.5283 0.5054
Pm: 0.2033 0.2033 0.4467
Pm: 0.3025 0.3025 0.9486
Pm: 0.3303 0.9727 0.0056
Pm: 0.4717 0.8307 0.4946
Pm: 0.5283 0.1693 0.5054
Pm: 0.6697 0.0273 0.9944
Pm: 0.6975 0.6975 0.0514
Pm: 0.7967 0.7967 0.5533
Pm: 0.8307 0.4717 0.4946
Pm: 0.9727 0.3303 0.0056
Pr: 0.0000 0.0000 0.0000
Y: 0.1377 0.8623 0.5000
Y: 0.3624 0.6376 0.0000
Y: 0.5000 0.5000 0.5000
Y: 0.6376 0.3624 0.0000
Y: 0.8623 0.1377 0.5000

Computed properties:
calculated formation energy: 140 kJ/mol of formula units
uncorrected energy: -5.147 eV per atom